(1)
## La6CdPb2 (PBE)

Data for a relaxed La6CdPb2 crystal.

Formation enthalpy at 0 K ... -172 meV/atom
Volume ... 30.38 Å³/atom
Total energy ... -39.44 eV/cell

a = 9.6655 Å, b = 9.6655 Å, c = 3.3791 Å
α = 90.00°, β = 90.00°, γ = 120.00°
Space group P6/mmm (No. 191)
Asymmetric unit:
La: 0.0000 0.3322 0.0000 [6 per cell]
Cd: 0.0000 0.0000 0.5000 [1 per cell]
Pb: 0.3333 0.6667 0.5000 [2 per cell]

(2)
## Na3Mg2ZrTe6 (PBE)

Data for a relaxed Na3Mg2ZrTe6 crystal.

Formation energy from raw total energies ... -9.96 eV per formula unit
Volume ... 29.46 Å³/atom
Total energy ... -89.01 eV/cell

a = 7.283 Å, b = 12.628 Å, c = 8.065 Å
α = 90.00°, β = 107.58°, γ = 90.00°
Space group C2/m (No. 12)
Asymmetric unit:
Na: 0.000 0.000 0.000 [2 per cell]
Na: 0.000 0.333 0.000 [4 per cell]
Mg: 0.000 0.167 0.500 [4 per cell]
Zr: 0.000 0.500 0.500 [2 per cell]
Te: 0.238 0.335 0.721 [8 per cell]
Te: 0.245 0.000 0.720 [4 per cell]

(3)
## EuHoTlPb (PBE)

Data for a relaxed EuHoTlPb crystal.

Formation enthalpy at 0 K ... -397 meV/atom
Volume ... 29.47 Å³/atom
Total energy ... -90.06 eV/cell

a = 7.784 Å, b = 7.784 Å, c = 7.784 Å
α = 90.00°, β = 90.00°, γ = 90.00°
Space group F-43m (No. 216)
Asymmetric unit:
Eu: 0.000 0.000 0.000 [4 per cell]
Ho: 0.000 0.000 0.500 [4 per cell]
Tl: 0.250 0.250 0.250 [4 per cell]
Pb: 0.250 0.250 0.750 [4 per cell]

(4)
## TaFe2Se2 (PBE)

Data for a relaxed TaFe2Se2 crystal.

ΔE to the lowest computed polymorph ... 1.47 eV/f.u.
Formation energy from raw total energies ... 2.61 eV per formula unit
Volume ... 15.68 Å³/atom
Total energy ... -66.28 eV/cell

a = 3.809 Å, b = 3.809 Å, c = 10.807 Å
α = 90.00°, β = 90.00°, γ = 90.00°
Space group I4/mmm (No. 139)
Asymmetric unit:
Ta: 0.000 0.000 0.000 [2 per cell]
Fe: 0.000 0.000 0.394 [4 per cell]
Se: 0.000 0.500 0.250 [4 per cell]

(5)
## CaZrCu10 (PBE)

Data for a relaxed CaZrCu10 crystal.

Formation enthalpy at 0 K ... -81 meV/atom
Volume ... 14.69 Å³/atom
Total energy ... -52.48 eV/cell

a = 4.066 Å, b = 5.012 Å, c = 8.648 Å
α = 90.00°, β = 90.00°, γ = 90.00°
Space group Pmmm (No. 47)
Asymmetric unit:
Ca: 0.000 0.000 0.000 [1 per cell]
Zr: 0.000 0.500 0.500 [1 per cell]
Cu: 0.000 0.000 0.341 [2 per cell]
Cu: 0.000 0.500 0.174 [2 per cell]
Cu: 0.500 0.000 0.500 [1 per cell]
Cu: 0.500 0.257 0.260 [4 per cell]
Cu: 0.500 0.500 0.000 [1 per cell]

(6)
## LiW2Cl (PBE)

Data for a relaxed LiW2Cl crystal.

ΔE to the lowest computed polymorph ... 0.32 eV/f.u.
Formation energy from raw total energies ... 0.51 eV per formula unit
Volume ... 16.86 Å³/atom
Total energy ... -58.31 eV/cell

a = 3.217 Å, b = 4.990 Å, c = 8.405 Å
α = 90.00°, β = 90.00°, γ = 90.00°
Space group Cmm2 (No. 35)
Asymmetric unit:
Li: 0.000 0.000 0.000 [2 per cell]
W: 0.000 0.000 0.477 [2 per cell]
W: 0.000 0.500 0.706 [2 per cell]
Cl: 0.000 0.500 0.190 [2 per cell]

(7)
## Dy2Pu3NpN6 (PBE)

Data for a relaxed Dy2Pu3NpN6 crystal.

Formation energy from raw total energies ... -16.59 eV per formula unit
Volume ... 14.81 Å³/atom
Total energy ... -263.37 eV/cell

a = 6.020 Å, b = 10.416 Å, c = 6.013 Å
α = 90.00°, β = 109.53°, γ = 90.00°
Space group C2/m (No. 12)
Asymmetric unit:
Dy: 0.000 0.166 0.000 [4 per cell]
Pu: 0.000 0.000 0.500 [2 per cell]
Pu: 0.000 0.332 0.500 [4 per cell]
Np: 0.000 0.500 0.000 [2 per cell]
N: 0.239 0.500 0.751 [4 per cell]
N: 0.243 0.339 0.247 [8 per cell]

(8)
## TlReMo2 (PBE)

Data for a relaxed TlReMo2 crystal.

ΔE to the lowest computed polymorph ... 2.32 eV/f.u.
Formation enthalpy at 0 K ... 1000 meV/atom
Volume ... 19.62 Å³/atom
Total energy ... -129.91 eV/cell

a = 7.549 Å, b = 7.549 Å, c = 5.510 Å
α = 90.00°, β = 90.00°, γ = 90.00°
Space group I-42d (No. 122)
Asymmetric unit:
Tl: 0.000 0.000 0.000 [4 per cell]
Re: 0.000 0.000 0.500 [4 per cell]
Mo: 0.192 0.250 0.625 [8 per cell]

(9)
## CaMnNi2 (PBE)

Data for a relaxed CaMnNi2 crystal.

ΔE to the lowest computed polymorph ... 0.30 eV/f.u.
Formation enthalpy at 0 K ... 53 meV/atom
Volume ... 18.40 Å³/atom
Total energy ... -67.56 eV/cell

a = 4.0985 Å, b = 4.0985 Å, c = 15.1781 Å
α = 90.00°, β = 90.00°, γ = 120.00°
Space group R3m (No. 160, hexagonal axes)
Asymmetric unit:
Ca: 0.0000 0.0000 0.0000 [3 per cell]
Mn: 0.0000 0.0000 0.1931 [3 per cell]
Ni: 0.0000 0.0000 0.4780 [3 per cell]
Ni: 0.0000 0.0000 0.8049 [3 per cell]

(10)
## Tb3PrBi3 (PBE)

Data for a relaxed Tb3PrBi3 crystal.

Formation enthalpy at 0 K ... -619 meV/atom
Volume ... 31.29 Å³/atom
Total energy ... -69.29 eV/cell

a = 9.2914 Å, b = 9.2914 Å, c = 5.8599 Å
α = 90.00°, β = 90.00°, γ = 120.00°
Space group P6_3/m (No. 176)
Asymmetric unit:
Tb: 0.0145 0.7707 0.2500 [6 per cell]
Pr: 0.3333 0.6667 0.2500 [2 per cell]
Bi: 0.0651 0.6315 0.7500 [6 per cell]

(11)
## Cd2TeRhO (PBE)

Data for a relaxed Cd2TeRhO crystal.

Formation energy from raw total energies ... 4.40 eV per formula unit
Volume ... 30.80 Å³/atom
Total energy ... -12.88 eV/cell

a = 5.620 Å, b = 5.620 Å, c = 4.875 Å
α = 90.00°, β = 90.00°, γ = 90.00°
Space group P4/mmm (No. 123)
Asymmetric unit:
Cd: 0.000 0.500 0.000 [2 per cell]
Te: 0.000 0.000 0.000 [1 per cell]
Rh: 0.000 0.000 0.500 [1 per cell]
O: 0.500 0.500 0.500 [1 per cell]

(12)
## Pr6Dy3Ho (PBE)

Data for a relaxed Pr6Dy3Ho crystal.

Formation enthalpy at 0 K ... 139 meV/atom
Volume ... 34.52 Å³/atom
Total energy ... -182.69 eV/cell

a = 10.994 Å, b = 19.465 Å, c = 6.451 Å
α = 90.00°, β = 90.00°, γ = 90.00°
Space group Cmc2_1 (No. 36)
Asymmetric unit:
Pr: 0.000 0.034 0.000 [4 per cell]
Pr: 0.000 0.281 0.777 [4 per cell]
Pr: 0.171 0.458 0.669 [8 per cell]
Pr: 0.228 0.290 0.478 [8 per cell]
Dy: 0.000 0.385 0.203 [4 per cell]
Dy: 0.169 0.115 0.588 [8 per cell]
Ho: 0.000 0.193 0.229 [4 per cell]

(13)
## ZrPIrS2 (PBE)

Data for a relaxed ZrPIrS2 crystal.

ΔE to the lowest computed polymorph ... 2.99 eV/f.u.
Formation energy from raw total energies ... 4.00 eV per formula unit
Volume ... 24.04 Å³/atom
Total energy ... -27.08 eV/cell

a = 4.844 Å, b = 4.844 Å, c = 5.122 Å
α = 90.00°, β = 90.00°, γ = 90.00°
Space group P4/mmm (No. 123)
Asymmetric unit:
Zr: 0.000 0.000 0.000 [1 per cell]
P: 0.000 0.000 0.500 [1 per cell]
Ir: 0.500 0.500 0.500 [1 per cell]
S: 0.000 0.500 0.000 [2 per cell]

(14)
## Ba2SnPb3Au4 (PBE)

Data for a relaxed Ba2SnPb3Au4 crystal.

Formation enthalpy at 0 K ... -475 meV/atom
Volume ... 28.96 Å³/atom
Total energy ... -36.83 eV/cell

a = 5.027 Å, b = 5.027 Å, c = 11.458 Å
α = 90.00°, β = 90.00°, γ = 90.00°
Space group P-4m2 (No. 115)
Asymmetric unit:
Ba: 0.000 0.500 0.239 [2 per cell]
Sn: 0.000 0.000 0.500 [1 per cell]
Pb: 0.000 0.500 0.874 [2 per cell]
Pb: 0.500 0.500 0.500 [1 per cell]
Au: 0.000 0.000 0.000 [1 per cell]
Au: 0.000 0.500 0.626 [2 per cell]
Au: 0.500 0.500 0.000 [1 per cell]

(15)
## Ac2Tb6Er (PBE)

Data for a relaxed Ac2Tb6Er crystal.

Formation enthalpy at 0 K ... 134 meV/atom
Volume ... 35.18 Å³/atom
Total energy ... -39.36 eV/cell

a = 8.798 Å, b = 3.638 Å, c = 10.114 Å
α = 90.00°, β = 101.98°, γ = 90.00°
Space group P2/m (No. 10)
Asymmetric unit:
Ac: 0.194 0.000 0.461 [2 per cell]
Tb: 0.124 0.500 0.785 [2 per cell]
Tb: 0.184 0.000 0.098 [2 per cell]
Tb: 0.481 0.500 0.323 [2 per cell]
Er: 0.500 0.500 0.000 [1 per cell]

(16)
## BaCaAg2 (PBE)

Data for a relaxed BaCaAg2 crystal.

ΔE to the lowest computed polymorph ... 0.18 eV/f.u.
Formation enthalpy at 0 K ... -224 meV/atom
Volume ... 30.25 Å³/atom
Total energy ... -10.52 eV/cell

a = 5.583 Å, b = 5.583 Å, c = 3.882 Å
α = 90.00°, β = 90.00°, γ = 90.00°
Space group P4/mmm (No. 123)
Asymmetric unit:
Ba: 0.000 0.000 0.000 [1 per cell]
Ca: 0.500 0.500 0.000 [1 per cell]
Ag: 0.000 0.500 0.500 [2 per cell]

(17)
## Er5TcNi (PBE)

Data for a relaxed Er5TcNi crystal.

Formation enthalpy at 0 K ... -84 meV/atom
Volume ... 26.64 Å³/atom
Total energy ... -158.19 eV/cell

a = 9.261 Å, b = 13.546 Å, c = 6.337 Å
α = 90.00°, β = 110.22°, γ = 90.00°
Space group C2/c (No. 15)
Asymmetric unit:
Er: 0.000 0.147 0.250 [4 per cell]
Er: 0.106 0.347 0.563 [8 per cell]
Er: 0.229 0.083 0.860 [8 per cell]
Tc: 0.000 0.499 0.750 [4 per cell]
Ni: 0.000 0.000 0.000 [4 per cell]

(18)
## Sc2InGa2Ni5 (PBE)

Data for a relaxed Sc2InGa2Ni5 crystal.

Formation enthalpy at 0 K ... -389 meV/atom
Volume ... 14.95 Å³/atom
Total energy ... -108.51 eV/cell

a = 9.153 Å, b = 9.153 Å, c = 3.570 Å
α = 90.00°, β = 90.00°, γ = 90.00°
Space group P4/mbm (No. 127)
Asymmetric unit:
Sc: 0.176 0.324 0.000 [4 per cell]
In: 0.000 0.000 0.000 [2 per cell]
Ga: 0.120 0.620 0.000 [4 per cell]
Ni: 0.000 0.500 0.500 [2 per cell]
Ni: 0.065 0.787 0.500 [8 per cell]

(19)
## Ce4HoS5 (PBE)

Data for a relaxed Ce4HoS5 crystal.

Formation energy from raw total energies ... -20.32 eV per formula unit
Volume ... 22.48 Å³/atom
Total energy ... -138.55 eV/cell

a = 8.923 Å, b = 8.923 Å, c = 5.647 Å
α = 90.00°, β = 90.00°, γ = 90.00°
Space group I4/m (No. 87)
Asymmetric unit:
Ce: 0.099 0.699 0.000 [8 per cell]
Ho: 0.000 0.000 0.500 [2 per cell]
S: 0.000 0.000 0.000 [2 per cell]
S: 0.099 0.707 0.500 [8 per cell]

(20)
## Pu3Th5Te8 (PBE)

Data for a relaxed Pu3Th5Te8 crystal.

Formation energy from raw total energies ... -16.85 eV per formula unit
Volume ... 31.05 Å³/atom
Total energy ... -366.24 eV/cell

a = 8.7330 Å, b = 8.7330 Å, c = 22.5668 Å
α = 90.00°, β = 90.00°, γ = 120.00°
Space group R-3m (No. 166, hexagonal axes)
Asymmetric unit:
Pu: 0.0000 0.5000 0.0000 [9 per cell]
Th: 0.0000 0.0000 0.0000 [3 per cell]
Th: 0.0000 0.0000 0.5000 [3 per cell]
Th: 0.0000 0.5000 0.5000 [9 per cell]
Te: 0.0000 0.0000 0.2531 [6 per cell]
Te: 0.0039 0.5020 0.2520 [18 per cell]